(1)
CuAg: optimized geometry, GGA-PBE.

POSCAR file:
```
CuAg
1.0
7.2107 -1.8687 0.0000
7.2107 1.8687 0.0000
-1.1104 0.0000 5.5395
Ag Cu
5 5
Cartesian
2.7730 0.0000 0.5240
5.5261 0.0000 1.1014
8.2292 0.0000 1.6496
2.2383 0.0000 3.3531
5.0343 0.0000 3.8878
11.1401 0.0000 2.2399
-0.5432 0.0000 2.8538
7.6931 0.0000 4.4131
10.5599 0.0000 4.9767
-1.0723 0.0000 5.4678
```

Values from the calculation:
E_form = 0.099 eV per atom
symmetry = Cm, No. 8
VASP energy = -3.172 eV per atom



(2)
Cu5Ag3: optimized geometry, GGA-PBE.

POSCAR file:
```
Cu5Ag3
1.0
5.4318 -1.4093 0.0000
5.4318 1.4093 0.0000
-5.2599 0.0000 7.3984
Ag Cu
3 5
Cartesian
8.1599 0.0000 3.6353
1.3033 0.0000 5.6799
-1.6992 0.0000 6.4632
0.1004 0.0000 0.2818
7.5259 0.0000 0.9817
4.1255 0.0000 1.8079
0.6519 0.0000 2.6794
4.8775 0.0000 4.3654
```

Values from the calculation:
E_form = 0.078 eV per atom
symmetry = Cm, No. 8
VASP energy = -3.304 eV per atom



(3)
CuAg: optimized geometry, GGA-PBE.

POSCAR file:
```
CuAg
1.0
3.8730 -1.7110 3.6054
-1.1023 5.4082 -0.6799
-3.6685 -3.3122 2.5491
Ag Cu
4 4
Cartesian
0.0000 0.0000 0.0000
1.9365 -0.8555 1.8027
0.1022 -2.5116 3.0773
-0.4490 0.1926 2.7373
-0.5512 2.7041 -0.3399
1.3853 1.8486 1.4628
-1.8343 -1.6561 1.2745
-2.3854 1.0480 0.9346
```

Values from the calculation:
E_form = 0.113 eV per atom
symmetry = Imma, No. 74
VASP energy = -3.157 eV per atom



(4)
Cu4Ag5: optimized geometry, GGA-PBE.

POSCAR file:
```
Cu4Ag5
1.0
4.6678 -1.4136 0.0000
4.6678 1.4136 0.0000
-4.6268 0.0000 10.3955
Ag Cu
5 4
Cartesian
2.6626 0.0000 1.1253
5.1530 0.0000 2.2598
1.0648 0.0000 4.6583
3.5627 0.0000 5.9353
2.1641 0.0000 9.1108
-1.5400 0.0000 3.5100
6.1139 0.0000 6.9692
-0.3780 0.0000 8.1491
4.7416 0.0000 10.2596
```

Values from the calculation:
E_form = 0.092 eV per atom
symmetry = Cm, No. 8
VASP energy = -3.129 eV per atom



(5)
Cu7Ag2: optimized geometry, GGA-PBE.

POSCAR file:
```
Cu7Ag2
1.0
6.8681 -1.3473 0.0000
6.8681 1.3473 0.0000
-0.1172 0.0000 6.4245
Ag Cu
2 7
Cartesian
3.8402 0.0000 1.1744
9.7788 0.0000 5.2501
8.2821 0.0000 1.0324
13.0464 0.0000 1.0967
2.0858 0.0000 3.1082
6.8095 0.0000 3.2122
11.5332 0.0000 3.3162
0.5726 0.0000 5.3278
5.3369 0.0000 5.3920
```

Values from the calculation:
E_form = 0.073 eV per atom
symmetry = C2/m, No. 12
VASP energy = -3.446 eV per atom



(6)
Cu3Ag7: optimized geometry, GGA-PBE.

POSCAR file:
```
Cu3Ag7
1.0
10.5690 -17.5959 9.5581
10.8817 -18.6268 6.8781
12.8651 -16.8380 7.9780
Ag Cu
7 3
Cartesian
3.4006 -5.2582 2.4194
13.6254 -21.0683 9.6939
17.2917 -26.7372 12.3023
20.6986 -32.0051 14.7261
23.8405 -36.8634 16.9615
27.4981 -42.5189 19.5637
30.9069 -47.7898 21.9889
6.9426 -10.7350 4.9394
10.3524 -16.0073 7.3652
34.1800 -52.8508 24.3176
```

Values from the calculation:
E_form = 0.068 eV per atom
symmetry = R3m, No. 160
VASP energy = -3.024 eV per atom



(7)
CuAg: optimized geometry, GGA-PBE.

POSCAR file:
```
CuAg
1.0
2.8090 0.0000 0.0000
0.0028 3.6853 0.0000
0.0865 0.0104 11.5352
Ag Cu
4 4
Cartesian
2.6808 3.6170 5.3872
1.2590 1.7740 7.0520
2.6477 3.6174 8.7102
1.2341 1.7772 10.3746
2.5675 3.6133 0.2707
1.2057 1.7746 1.4968
2.6574 3.6195 2.7299
1.2765 1.7759 3.9557
```

Values from the calculation:
E_form = 0.074 eV per atom
symmetry = P1, No. 1
VASP energy = -3.197 eV per atom



(8)
Cu3Ag4: optimized geometry, GGA-PBE.

POSCAR file:
```
Cu3Ag4
1.0
-1.4173 1.8997 10.0415
1.4173 -1.8997 10.0415
1.4173 1.8997 -10.0415
Ag Cu
4 3
Cartesian
0.0000 0.0000 3.0074
0.0000 0.0000 8.6354
0.0000 0.0000 11.4477
0.0000 0.0000 17.0756
0.0000 0.0000 0.0000
0.0000 0.0000 5.6469
0.0000 0.0000 14.4361
```

Values from the calculation:
E_form = 0.090 eV per atom
symmetry = Immm, No. 71
VASP energy = -3.117 eV per atom



(9)
CuAg: optimized geometry, GGA-PBE.

POSCAR file:
```
CuAg
1.0
5.7159 0.0000 0.0000
0.0000 2.8246 0.0000
-2.8073 0.0000 7.4215
Ag Cu
4 4
Cartesian
3.5851 2.1185 0.9839
-0.5394 0.7062 2.8419
3.4480 2.1185 4.5796
-0.6765 0.7062 6.4376
0.7223 2.1185 0.8794
2.0535 0.7062 2.7294
0.8550 2.1185 4.6921
2.1862 0.7062 6.5421
```

Values from the calculation:
E_form = 0.104 eV per atom
symmetry = P2_1/m, No. 11
VASP energy = -3.167 eV per atom



(10)
Cu3Ag2: optimized geometry, GGA-PBE.

POSCAR file:
```
Cu3Ag2
1.0
1.9433 -9.5128 0.0000
1.9433 9.5128 0.0000
0.0000 0.0000 3.8705
Ag Cu
4 6
Cartesian
0.0000 0.0000 0.0000
1.9433 -3.7672 1.9352
1.9433 0.0000 1.9352
1.9433 3.7672 1.9352
1.9433 -5.7709 0.0000
1.9433 -1.9551 0.0000
1.9433 1.9551 0.0000
1.9433 5.7709 0.0000
1.9433 -7.5531 1.9352
1.9433 7.5531 1.9352
```

Values from the calculation:
E_form = 0.098 eV per atom
symmetry = Cmmm, No. 65
VASP energy = -3.262 eV per atom



(11)
Cu3Ag2: optimized geometry, GGA-PBE.

POSCAR file:
```
Cu3Ag2
1.0
2.7660 0.0000 0.0000
0.0000 2.7660 0.0000
0.0000 0.0000 18.5736
Ag Cu
4 6
Cartesian
0.0000 1.3830 2.7163
1.3830 0.0000 4.9617
0.0000 1.3830 13.6119
1.3830 0.0000 15.8574
1.3830 0.0000 0.7904
0.0000 1.3830 6.9021
1.3830 0.0000 8.4918
0.0000 1.3830 10.0818
1.3830 0.0000 11.6715
0.0000 1.3830 17.7832
```

Values from the calculation:
E_form = 0.062 eV per atom
symmetry = P4/nmm, No. 129
VASP energy = -3.298 eV per atom



(12)
Cu3Ag2: optimized geometry, GGA-PBE.

POSCAR file:
```
Cu3Ag2
1.0
-0.5090 -0.2536 9.5542
-1.2641 -2.9017 9.0327
5.2838 -1.3727 -0.6796
Ag Cu
4 6
Cartesian
-0.6033 -3.1144 16.6859
1.5955 -1.5106 5.3599
1.9152 -3.0174 12.5474
4.1140 -1.4136 1.2214
-0.8866 -1.5776 9.2935
-0.7077 -2.3467 12.9393
1.3890 -0.6955 1.5205
1.7554 -2.2640 8.9537
2.1217 -3.8325 16.3868
4.2184 -2.1813 4.9680
```

Values from the calculation:
E_form = 0.111 eV per atom
symmetry = C2/m, No. 12
VASP energy = -3.249 eV per atom